1.
DFT (PBE-GGA) results for an optimized crystal structure of TeI2.

Excess energy over the best structure of this formula in the dataset: 7 meV/atom

Geometry as POSCAR:
```
TeI2
1.0
6.703 -0.001 -0.001
2.854 6.713 -0.002
1.723 0.952 7.064
I Te
4 2
direct
0.167 0.442 0.532
0.268 0.569 0.037
0.019 0.066 0.311
0.659 0.994 0.825
0.150 0.851 0.709
0.169 0.178 0.885
```



2.
DFT (PBE-GGA) results for an optimized crystal structure of TeI.

Excess energy over the best structure of this formula in the dataset: 0 meV/atom

Geometry as POSCAR:
```
TeI
1.0
-4.300 0.104 7.594
-5.321 -3.663 5.869
3.063 -5.929 11.134
I Te
4 4
direct
0.675 0.675 0.417
0.482 0.482 0.197
0.518 0.518 0.803
0.325 0.325 0.583
0.126 0.126 0.175
0.874 0.874 0.825
0.761 0.761 0.146
0.239 0.239 0.854
```



3.
DFT (PBE-GGA) results for an optimized crystal structure of TeI.

Excess energy over the best structure of this formula in the dataset: 29 meV/atom

Geometry as POSCAR:
```
TeI
1.0
-3.581 4.594 1.704
-7.374 -4.150 -1.134
-1.885 -1.926 8.117
I Te
4 4
direct
0.739 0.577 0.675
0.028 0.948 0.044
0.476 0.881 0.372
0.783 0.423 0.174
0.237 0.878 0.698
0.920 0.115 0.569
0.528 0.087 0.803
0.866 0.297 0.879
```



4.
DFT (PBE-GGA) results for an optimized crystal structure of TeI2.

Excess energy over the best structure of this formula in the dataset: 29 meV/atom

Geometry as POSCAR:
```
TeI2
1.0
4.869 0.000 0.081
0.000 5.711 0.000
-0.763 0.000 5.661
I Te
2 1
direct
0.074 0.500 0.319
0.734 0.000 0.786
0.904 0.500 0.803
```



no.,raw formation energy (meV per atom)
1,-44
2,-72
3,-43
4,-23